The following is a DFT calculation (GGA-PBE) of crystalline GaSnN at its relaxed geometry.

Summary:
**ΔE_f (raw)**: -0.03 eV per atom
**Energy above the most stable polymorph in this dataset**: 0.001 eV per atom
**DOS at the Fermi energy**: 0.25 states/eV per atom

The structure in POSCAR format:
```
GaSnN
1.0
-3.049 -4.369 1.162
2.076 -1.884 -1.636
4.851 1.116 4.870
Ga Sn N
2 2 2
Cartesian
3.272 -2.637 3.969 Ga
4.033 0.449 4.600 Ga
0.745 -3.926 2.247 Sn
0.878 -0.713 1.936 Sn
2.836 -1.030 4.785 N
2.019 -4.101 4.065 N
```